# 1
12
Lattice="6.301 0.000 0.000 0.000 6.301 0.000 0.000 0.000 4.961" Properties=species:S:1:pos:R:3 comment="Ta4GaNi PBE optimized geometry" de_polymorph_mev_per_atom=0 final_energy_ev_per_cell=-114.87 magnetic_moment_mub_per_cell=0.001 pbc="T T T"
Ta 1.047 2.231 2.481
Ta 1.047 4.070 0.000
Ni 3.150 3.150 1.240
Ta 2.231 5.254 2.481
Ga 0.000 0.000 1.240
Ni 3.150 3.150 3.721
Ga 0.000 0.000 3.721
Ta 2.231 1.047 0.000
Ta 4.070 5.254 0.000
Ta 5.254 4.070 2.481
Ta 5.254 2.231 0.000
Ta 4.070 1.047 2.481

***

# 2
8
Lattice="-2.952 1.551 1.343 0.866 -1.190 3.280 3.968 6.439 1.289" Properties=species:S:1:pos:R:3 comment="SmDyCo2B2C2 PBE optimized geometry" final_energy_ev_per_cell=-58.22 magnetic_moment_mub_per_cell=0.998 pbc="T T T"
Dy 1.317 2.137 0.428
Co 0.437 -0.589 1.641
Co -1.472 0.782 0.673
Sm 1.615 4.494 3.174
C 0.316 2.386 2.753
C 2.598 4.216 0.844
B -0.464 1.119 2.499
B 3.384 5.491 1.099

***

Question: Number 1 is which compound?
Answer: Ta4GaNi

***

Question: Number 2 is which compound?
Answer: SmDyCo2B2C2